Compound: PdRh2Se4
Source: the Alexandria database
Functional: GGA-PBE
Structure: relaxed

* space-group type: No. 166
* ΔE_f (raw): -0.4033 eV/atom
* density of states at the Fermi level: 0.63 states/eV/atom
* mass density: 7.2 g cm⁻³

Cell lengths 7.4076, 7.4125, 12.8404 Å; angles 106.83, 90.00, 119.98 degrees
Fractional coordinates of all 28 atoms:
Se: 0.5962 0.2383 0.3809
Se: 0.3576 0.2152 0.1195
Se: 0.8694 0.2388 0.1077
Se: 0.6306 0.7612 0.3923
Se: 0.8576 0.2152 0.6195
Se: 0.9036 0.7616 0.1191
Se: 0.3579 0.7617 0.1191
Se: 0.8580 0.7616 0.6191
Se: 0.6424 0.7848 0.8805
Se: 0.3694 0.2388 0.6077
Se: 0.1306 0.7612 0.8923
Se: 0.0964 0.2384 0.8809
Se: 0.1420 0.2384 0.3809
Se: 0.4038 0.7617 0.6191
Se: 0.6421 0.2383 0.8809
Se: 0.1424 0.7848 0.3805
Rh: 0.5000 0.0000 0.5000
Rh: 0.0000 0.0000 0.0000
Rh: 0.2499 0.0000 0.2500
Rh: 0.7501 0.0000 0.7500
Rh: 0.5000 0.5000 0.5000
Rh: 0.5000 0.0000 0.0000
Rh: 0.0000 0.5000 0.0000
Rh: 0.0000 0.0000 0.5000
Pd: 0.0625 0.6250 0.6878
Pd: 0.5625 0.6250 0.1878
Pd: 0.9375 0.3750 0.3122
Pd: 0.4375 0.3750 0.8122

Compound: PdRhSe2
Source: the Alexandria database
Functional: GGA-PBE
Structure: relaxed

* space-group type: No. 71
* ΔE_f (raw): -0.2001 eV/atom
* density of states at the Fermi level: 0.49 states/eV/atom
* mass density: 6.9 g cm⁻³

Cell lengths 3.7878, 3.9838, 6.4620 Å; angles 107.95, 107.04, 90.00 degrees
Fractional coordinates of all 4 atoms:
Pd: 0.5000 0.0000 0.0000
Rh: 0.0000 0.5000 0.0000
Se: 0.3613 0.3613 0.7227
Se: 0.6387 0.6387 0.2773

Compound: PdRhSe4
Source: the Alexandria database
Functional: GGA-PBE
Structure: relaxed

* space-group type: No. 10
* ΔE_f (raw): -0.3413 eV/atom
* density of states at the Fermi level: 0.34 states/eV/atom
* mass density: 7.2 g cm⁻³

Cell lengths 3.7665, 4.9776, 6.5063 Å; angles 90.96, 90.00, 90.00 degrees
Fractional coordinates of all 6 atoms:
Se: 0.5000 0.7453 0.1677
Se: 0.5000 0.2547 0.8323
Se: 0.0000 0.2615 0.3466
Se: 0.0000 0.7385 0.6534
Pd: 0.0000 0.0000 0.0000
Rh: 0.5000 0.0000 0.5000